Record 1
Below is an optimized crystal structure of Li2TaNb2Se6, with properties calculated at the GGA-PBE level.

The structure belongs to space group C2/m (No. 12); the cell edges are 6.110, 10.882 and 7.091 Å and the angles 90.00°, 104.71° and 90.00°. The inequivalent atoms are Li at (0.000, 0.179, 0.000), Ta at (0.000, 0.000, 0.500), Nb at (0.000, 0.367, 0.500), Se at (0.230, 0.172, 0.727) and Se at (0.244, 0.000, 0.235).



Record 2
Below is an optimized crystal structure of LiNb2Tl2Se6, with properties calculated at the GGA-PBE level.

The structure belongs to space group C2/m (No. 12); the cell edges are 6.766, 11.218 and 7.894 Å and the angles 90.00°, 103.37° and 90.00°. The inequivalent atoms are Li at (0.000, 0.000, 0.000), Nb at (0.000, 0.352, 0.000), Tl at (0.000, 0.175, 0.500), Se at (0.181, 0.500, 0.230) and Se at (0.226, 0.177, 0.183).



Record 3
Below is an optimized crystal structure of Li2NbTlSe4, with properties calculated at the GGA-PBE level.

The structure belongs to space group I-42m (No. 121); the cell edges are 7.048, 7.048 and 8.867 Å and the angles 90.00°, 90.00° and 90.00°. The inequivalent atoms are Li at (0.000, 0.500, 0.250), Nb at (0.000, 0.000, 0.000), Tl at (0.000, 0.000, 0.500) and Se at (0.198, 0.198, 0.840).



Record 4
Below is an optimized crystal structure of Li2NbTl3Se6, with properties calculated at the GGA-PBE level.

The structure belongs to space group C2/m (No. 12); the cell edges are 7.027, 12.154 and 7.347 Å and the angles 90.00°, 108.87° and 90.00°. The inequivalent atoms are Li at (0.000, 0.166, 0.000), Nb at (0.000, 0.500, 0.000), Tl at (0.000, 0.000, 0.500), Tl at (0.000, 0.338, 0.500), Se at (0.222, 0.345, 0.208) and Se at (0.244, 0.500, 0.794).



no.,total DFT energy (no corrections) (eV/cell)
1,-133.80
2,-110.50
3,-73.78
4,-98.61